# SrTlB2, relaxed, DFT GGA-PBEsol
# Total magnetic moment: 0.000 μB per atom
# Energy of formation: 1095 meV/atom
# Total energy: -3.53 eV per atom
data_SrTlB2
_chemical_formula_sum 'Sr1 Tl1 B2'
_symmetry_space_group_name_H-M 'P 1'
_symmetry_Int_Tables_number 1
_cell_length_a 4.6385
_cell_length_b 4.6385
_cell_length_c 4.6385
_cell_angle_alpha 60.00
_cell_angle_beta 60.00
_cell_angle_gamma 60.00
loop_
_symmetry_equiv_pos_as_xyz
'x,y,z'
loop_
_atom_site_label
_atom_site_fract_x
_atom_site_fract_y
_atom_site_fract_z
B1 0.2500 0.2500 0.2500
B2 0.7500 0.7500 0.7500
Tl1 0.5000 0.5000 0.5000
Sr1 0.0000 0.0000 0.0000



# SrZn3B, relaxed, DFT GGA-PBEsol
# Total magnetic moment: 0.000 μB per atom
# Energy of formation: 265 meV/atom
# Total energy: -2.46 eV per atom
data_SrZn3B
_chemical_formula_sum 'Sr1 Zn3 B1'
_symmetry_space_group_name_H-M 'P 1'
_symmetry_Int_Tables_number 1
_cell_length_a 4.3934
_cell_length_b 4.3934
_cell_length_c 4.3934
_cell_angle_alpha 90.00
_cell_angle_beta 90.00
_cell_angle_gamma 90.00
loop_
_symmetry_equiv_pos_as_xyz
'x,y,z'
loop_
_atom_site_label
_atom_site_fract_x
_atom_site_fract_y
_atom_site_fract_z
Zn1 0.0000 0.0000 0.5000
Zn2 0.0000 0.5000 0.0000
Zn3 0.5000 0.0000 0.0000
B1 0.0000 0.0000 0.0000
Sr1 0.5000 0.5000 0.5000



# Ta5B6, relaxed, DFT GGA-PBEsol
# Total magnetic moment: 0.000 μB per atom
# Energy of formation: -857 meV/atom
# Total energy: -10.39 eV per atom
data_Ta5B6
_chemical_formula_sum 'Ta5 B6'
_symmetry_space_group_name_H-M 'P 1'
_symmetry_Int_Tables_number 1
_cell_length_a 3.1336
_cell_length_b 3.2749
_cell_length_c 11.4115
_cell_angle_alpha 90.00
_cell_angle_beta 97.89
_cell_angle_gamma 90.00
loop_
_symmetry_equiv_pos_as_xyz
'x,y,z'
loop_
_atom_site_label
_atom_site_fract_x
_atom_site_fract_y
_atom_site_fract_z
Ta1 0.1943 0.5000 0.3886
Ta2 0.0000 0.0000 0.0000
Ta3 0.8057 0.5000 0.6114
Ta4 0.6145 0.0000 0.2291
Ta5 0.3855 0.0000 0.7709
B1 0.9174 0.5000 0.8348
B2 0.0826 0.5000 0.1652
B3 0.7267 0.0000 0.4533
B4 0.5397 0.5000 0.0794
B5 0.2733 0.0000 0.5467
B6 0.4603 0.5000 0.9206